[1]
Here is a geometry-optimized KSnPd2 structure from the Alexandria database. Energies are from PBE.

```
KSnPd2
1.0
7.885 0.000 0.000
0.000 7.885 0.000
3.942 3.942 3.356
Pd Sn K
4 2 2
direct
0.690 0.125 0.250
0.875 0.940 0.750
0.375 0.310 0.750
0.060 0.625 0.250
0.000 0.000 0.000
0.750 0.250 0.500
0.500 0.500 0.000
0.250 0.750 0.500
```

E_form = 0.0 eV/f.u.
Magnetic moment = 0.0 μB/f.u.

---

[2]
Here is a geometry-optimized KSnPd2 structure from the Alexandria database. Energies are from PBE.

```
KSnPd2
1.0
-2.185 -2.569 -0.128
2.564 -2.189 0.162
-0.487 0.019 7.942
Pd K Sn
2 1 1
direct
0.000 0.000 0.818
0.000 0.000 0.182
0.500 0.500 0.500
0.500 0.500 0.000
```

E_form = -1.0 eV/f.u.
Magnetic moment = 0.0 μB/f.u.

---

[3]
Here is a geometry-optimized KSnPd3 structure from the Alexandria database. Energies are from PBE.

```
KSnPd3
1.0
5.090 0.000 0.000
0.000 5.090 0.000
0.000 0.000 5.090
K Pd Sn
1 3 1
direct
0.500 0.500 0.500
0.500 0.000 0.000
0.000 0.000 0.500
0.000 0.500 0.000
0.000 0.000 0.000
```

E_form = 0.6 eV/f.u.
Magnetic moment = 0.0 μB/f.u.

---

[4]
Here is a geometry-optimized KSnPd structure from the Alexandria database. Energies are from PBE.

```
KSnPd
1.0
4.864 0.000 0.000
0.000 4.864 0.000
0.000 0.000 7.593
Pd Sn K
2 2 2
direct
0.000 0.000 0.500
0.500 0.500 0.500
0.500 0.000 0.653
0.000 0.500 0.347
0.500 0.000 0.163
0.000 0.500 0.837
```

E_form = -1.2 eV/f.u.
Magnetic moment = 0.0 μB/f.u.

---

[5]
Here is a geometry-optimized K3Sn4Pd2 structure from the Alexandria database. Energies are from PBE.

```
K3Sn4Pd2
1.0
-3.341 -0.691 -3.043
4.898 -5.146 -0.774
-6.162 -2.223 7.271
K Sn Pd
3 4 2
direct
0.000 0.000 0.000
0.628 0.256 0.377
0.372 0.744 0.623
0.291 0.582 0.925
0.084 0.168 0.644
0.916 0.832 0.356
0.709 0.418 0.075
0.671 0.342 0.780
0.329 0.658 0.220
```

E_form = -2.8 eV/f.u.
Magnetic moment = 0.0 μB/f.u.

---

[6]
Here is a geometry-optimized KSn2Pd4 structure from the Alexandria database. Energies are from PBE.

```
KSn2Pd4
1.0
-6.345 -1.247 3.265
-0.508 -1.619 -7.042
5.146 -4.130 2.988
Sn Pd K
4 8 2
direct
0.199 0.849 0.349
0.801 0.151 0.651
0.500 0.349 0.151
0.500 0.651 0.849
0.500 0.982 0.191
0.500 0.691 0.482
0.500 0.309 0.518
0.209 0.518 0.018
0.500 0.018 0.809
0.791 0.809 0.309
0.791 0.482 0.982
0.209 0.191 0.691
0.000 0.750 0.750
0.000 0.250 0.250
```

E_form = -3.1 eV/f.u.
Magnetic moment = 0.0 μB/f.u.

---

[7]
Here is a geometry-optimized KSnPd2 structure from the Alexandria database. Energies are from PBE.

```
KSnPd2
1.0
4.537 0.000 0.000
0.000 7.288 0.000
0.000 0.000 6.473
Pd Sn K
4 2 2
direct
0.500 0.307 0.110
0.000 0.807 0.890
0.500 0.693 0.110
0.000 0.193 0.890
0.500 0.000 0.866
0.000 0.500 0.134
0.500 0.500 0.627
0.000 0.000 0.373
```

E_form = -1.6 eV/f.u.
Magnetic moment = 0.0 μB/f.u.

---

[8]
Here is a geometry-optimized KSn2Pd structure from the Alexandria database. Energies are from PBE.

```
KSn2Pd
1.0
5.819 0.000 0.000
0.000 5.819 0.000
2.910 2.910 8.776
K Sn Pd
2 4 2
direct
0.250 0.750 0.500
0.500 0.500 0.000
0.876 0.125 0.250
0.874 0.625 0.250
0.375 0.124 0.750
0.875 0.126 0.750
0.000 0.000 0.000
0.750 0.250 0.500
```

E_form = -0.4 eV/f.u.
Magnetic moment = 0.0 μB/f.u.

---

[9]
Here is a geometry-optimized KSn2Pd structure from the Alexandria database. Energies are from PBE.

```
KSn2Pd
1.0
-1.792 1.410 -3.866
-1.678 -2.975 -2.912
-7.333 -0.018 0.787
Sn Pd K
2 1 1
direct
0.288 0.288 0.137
0.712 0.712 0.863
0.000 0.000 0.000
0.500 0.500 0.500
```

E_form = -1.5 eV/f.u.
Magnetic moment = 0.0 μB/f.u.

---

[10]
Here is a geometry-optimized K2Sn2Pd3 structure from the Alexandria database. Energies are from PBE.

```
K2Sn2Pd3
1.0
-2.035 1.690 3.558
-4.785 -1.714 -4.686
3.120 -5.665 4.476
Pd Sn K
3 2 2
direct
0.500 0.000 0.000
0.329 0.658 0.572
0.671 0.342 0.428
0.116 0.233 0.221
0.884 0.767 0.779
0.858 0.717 0.255
0.142 0.283 0.745
```

E_form = -2.5 eV/f.u.
Magnetic moment = 0.0 μB/f.u.

---

[11]
Here is a geometry-optimized KSnPd structure from the Alexandria database. Energies are from PBE.

```
KSnPd
1.0
-0.048 0.775 3.467
-3.451 -0.834 0.138
3.259 -5.991 -0.436
Pd Sn K
1 1 1
direct
0.296 0.296 0.592
0.709 0.709 0.417
0.995 0.995 0.991
```

E_form = -0.9 eV/f.u.
Magnetic moment = 0.0 μB/f.u.

---

[12]
Here is a geometry-optimized KSnPd structure from the Alexandria database. Energies are from PBE.

```
KSnPd
1.0
4.812 0.000 0.000
-2.406 9.122 -1.342
0.000 -4.222 9.535
Pd Sn K
4 4 4
direct
0.843 0.687 0.301
0.286 0.572 0.398
0.714 0.428 0.602
0.157 0.313 0.699
0.414 0.828 0.345
0.289 0.578 0.661
0.586 0.172 0.655
0.711 0.422 0.339
0.175 0.350 0.033
0.825 0.650 0.967
0.060 0.120 0.337
0.940 0.880 0.663
```

E_form = -1.1 eV/f.u.
Magnetic moment = 0.0 μB/f.u.

---

[13]
Here is a geometry-optimized KSnPd2 structure from the Alexandria database. Energies are from PBE.

```
KSnPd2
1.0
-3.178 -3.188 1.059
0.066 -4.119 -2.103
2.498 -4.548 3.902
K Sn Pd
1 1 2
direct
0.500 0.500 0.500
0.000 0.000 0.000
0.688 0.688 0.935
0.312 0.312 0.065
```

E_form = -1.5 eV/f.u.
Magnetic moment = 0.0 μB/f.u.

---

[14]
Here is a geometry-optimized KSn2Pd structure from the Alexandria database. Energies are from PBE.

```
KSn2Pd
1.0
-0.586 -3.221 -0.894
3.291 -0.714 0.414
-1.501 -2.055 8.389
Sn K Pd
2 1 1
direct
0.000 0.000 0.186
0.000 0.000 0.814
0.500 0.500 0.500
0.500 0.500 0.000
```

E_form = -1.4 eV/f.u.
Magnetic moment = 0.0 μB/f.u.

---

[15]
Here is a geometry-optimized KSnPd3 structure from the Alexandria database. Energies are from PBE.

```
KSnPd3
1.0
4.970 0.000 0.000
0.000 4.970 0.000
0.000 0.000 4.970
Pd K Sn
3 1 1
direct
0.000 0.000 0.500
0.000 0.500 0.000
0.500 0.000 0.000
0.000 0.000 0.000
0.500 0.500 0.500
```

E_form = 5.5 eV/f.u.
Magnetic moment = 0.0 μB/f.u.

---

[16]
Here is a geometry-optimized KSnPd structure from the Alexandria database. Energies are from PBE.

```
KSnPd
1.0
5.419 0.000 0.000
0.000 4.516 0.000
0.000 -2.258 3.911
K Sn Pd
1 1 1
direct
0.667 0.333 0.667
0.167 0.000 0.000
0.167 0.667 0.333
```

E_form = -0.7 eV/f.u.
Magnetic moment = 0.0 μB/f.u.

---

[17]
Here is a geometry-optimized K2Sn4Pd5 structure from the Alexandria database. Energies are from PBE.

```
K2Sn4Pd5
1.0
6.077 0.000 0.000
3.039 5.372 0.000
3.039 0.000 8.111
Pd K Sn
5 2 4
direct
0.500 0.000 0.000
0.500 0.500 0.000
0.250 0.500 0.500
0.000 0.500 0.000
0.750 0.500 0.500
0.872 0.000 0.257
0.128 0.000 0.743
0.465 0.325 0.746
0.535 0.675 0.254
0.210 0.325 0.254
0.790 0.675 0.746
```

E_form = -4.7 eV/f.u.
Magnetic moment = 0.0 μB/f.u.

---

[18]
Here is a geometry-optimized KSn3Pd3 structure from the Alexandria database. Energies are from PBE.

```
KSn3Pd3
1.0
-1.665 5.314 -4.777
-6.846 2.617 -0.337
-0.913 8.418 4.048
K Sn Pd
2 6 6
direct
0.662 0.662 0.014
0.338 0.338 0.986
0.582 0.961 0.323
0.961 0.134 0.323
0.866 0.418 0.677
0.134 0.582 0.323
0.039 0.866 0.677
0.418 0.039 0.677
0.686 0.215 0.633
0.314 0.785 0.367
0.466 0.686 0.633
0.215 0.466 0.633
0.534 0.314 0.367
0.785 0.534 0.367
```

E_form = -2.2 eV/f.u.
Magnetic moment = 0.0 μB/f.u.

---

[19]
Here is a geometry-optimized KSn3Pd5 structure from the Alexandria database. Energies are from PBE.

```
KSn3Pd5
1.0
-1.914 1.035 3.599
0.200 -7.273 -0.258
11.919 0.104 6.309
Pd Sn K
10 6 2
direct
0.808 0.617 0.067
0.000 0.000 0.000
0.549 0.098 0.641
0.549 0.098 0.859
0.192 0.383 0.567
0.451 0.902 0.141
0.451 0.902 0.359
0.808 0.617 0.433
0.192 0.383 0.933
0.000 0.000 0.500
0.378 0.756 0.955
0.899 0.797 0.250
0.101 0.203 0.750
0.622 0.244 0.045
0.622 0.244 0.455
0.378 0.756 0.545
0.826 0.652 0.750
0.174 0.348 0.250
```

E_form = -4.2 eV/f.u.
Magnetic moment = 0.0 μB/f.u.

---

[20]
Here is a geometry-optimized KSnPd3 structure from the Alexandria database. Energies are from PBE.

```
KSnPd3
1.0
-2.431 3.513 -1.830
-2.759 0.622 4.859
5.961 5.521 2.679
K Sn Pd
2 2 6
direct
0.750 0.250 0.487
0.250 0.750 0.513
0.750 0.250 0.095
0.250 0.750 0.905
0.750 0.507 0.827
0.250 0.493 0.173
0.250 0.007 0.173
0.250 0.250 0.835
0.750 0.750 0.165
0.750 0.993 0.827
```

E_form = -1.6 eV/f.u.
Magnetic moment = 0.0 μB/f.u.